[1]
PmPrN | the Alexandria database | PBE | optimized geometry; uncorrected formation energy = -0.32 eV/atom; total magnetization = 0.000 μB/cell; mass density = 8.11 g cm⁻³
1.0
4.4281 0.0000 0.0000
2.2140 3.8348 0.0000
2.2140 1.2783 3.6155
Pr N Pm
1 1 1
Cartesian
4.4281 2.5566 1.8078
2.2140 1.2783 0.9039
0.0000 0.0000 0.0000

[2]
Rb3Pu | the Alexandria database | PBE | optimized geometry; formation enthalpy at 0 K = 664 meV per atom; total magnetization = 7.095 μB/cell; mass density = 2.94 g cm⁻³
1.0
-2.0369 -6.1669 0.9623
6.0332 -1.6860 1.9657
-1.5992 1.4941 6.1900
Rb Pu
3 1
Cartesian
1.9981 -3.9264 1.4640
-1.8181 -2.3364 3.5761
2.2170 -0.0959 4.0778
0.0000 0.0000 0.0000

[3]
GeHF | the Alexandria database | PBE | optimized geometry; total magnetization = 0.000 μB/cell; electronic total energy = -4.241 eV/atom; mass density = 3.02 g cm⁻³
1.0
-2.6446 4.1173 0.1491
-0.2207 0.0115 -4.2317
-2.9316 -4.5184 0.1406
Ge H F
2 2 2
Cartesian
-2.8211 0.3754 0.1481
-2.3408 1.4922 -1.9955
-2.9720 2.8791 -1.9588
-3.7423 -2.9345 -1.9345
-2.0267 -1.2275 0.1023
-4.5040 -0.1864 0.2343

[4]
Sm2DyAl2 | the Alexandria database | PBE | optimized geometry; formation enthalpy at 0 K = -314 meV per atom; total magnetization = 0.000 μB/cell; mass density = 6.43 g cm⁻³
1.0
4.4561 0.0000 1.9975
1.6791 5.0996 2.2233
0.0780 -0.4208 5.7953
Sm Dy Al
2 1 2
Cartesian
4.8017 3.2632 7.1956
1.4115 1.4155 2.8204
0.0000 0.0000 0.0000
3.4231 3.4306 4.3019
2.7901 1.2482 5.7141